# 1
The following is a DFT calculation (GGA-PBE) of a relaxed TcAs2Ir crystal.

Its crystal system is trigonal. The final energy is -7.084 eV per atom. Its offset from the most stable computed form is 0.086 eV per atom. The density of states at the Fermi level comes out at 1.0 states/eV/f.u.

The structure belongs to space group R-3m (No. 166, hexagonal axes); the cell edges are 2.9988, 2.9988 and 23.6410 Å and the angles 90.00°, 90.00° and 120.00°. The asymmetric unit holds Tc at (0.0000, 0.0000, 0.0000), As at (0.0000, 0.0000, 0.2527) and Ir at (0.0000, 0.0000, 0.5000).

=====

# 2
The following is a DFT calculation (GGA-PBE) of a relaxed Pr5Nd2HoTm crystal.

Its crystal system is tetragonal. The final energy is -4.446 eV per atom. The density of states at the Fermi level comes out at 13.3 states/eV/f.u.

The structure belongs to space group I4/mcm (No. 140); the cell edges are 8.608, 8.608 and 17.171 Å and the angles 90.00°, 90.00° and 90.00°. The asymmetric unit holds Pr at (0.000, 0.000, 0.000), Pr at (0.221, 0.279, 0.144), Nd at (0.123, 0.377, 0.500), Ho at (0.000, 0.000, 0.250) and Tm at (0.000, 0.500, 0.250).

=====

# 3
The following is a DFT calculation (GGA-PBE) of a relaxed Ac4PmSm3 crystal.

Its crystal system is orthorhombic. The final energy is -4.375 eV per atom. The density of states at the Fermi level comes out at 13.9 states/eV/f.u.

The structure belongs to space group Pmn2_1 (No. 31); the cell edges are 10.927, 7.570 and 7.569 Å and the angles 90.00°, 90.00° and 90.00°. The asymmetric unit holds Ac at (0.000, 0.001, 0.000), Ac at (0.000, 0.499, 0.498), Ac at (0.248, 0.750, 0.749), Pm at (0.000, 0.000, 0.498), Sm at (0.000, 0.500, 0.999) and Sm at (0.250, 0.251, 0.749).

=====

# 4
The following is a DFT calculation (GGA-PBE) of a relaxed Rb3U3ZnS8 crystal.

As for the formation energy (no corrections): -1.2484 eV per atom. Its crystal system is trigonal. The final energy is -5.986 eV per atom. The density of states at the Fermi level comes out at 12.1 states/eV/f.u.

The structure belongs to space group R-3m (No. 166, hexagonal axes); the cell edges are 7.9574, 7.9574 and 23.5155 Å and the angles 90.00°, 90.00° and 120.00°. The asymmetric unit holds Rb at (0.0000, 0.5000, 0.0000), U at (0.0000, 0.5000, 0.5000), Zn at (0.0000, 0.0000, 0.5000), S at (0.0000, 0.0000, 0.2313) and S at (0.0063, 0.5031, 0.2273).

=====

| no. | total magnetic moment (μB/cell) |
| --- | --- |
| 1 | 0.000 |
| 2 | 0.000 |
| 3 | 0.000 |
| 4 | 21.007 |